A relaxed Tb8NdTm6 crystal. Source: Alexandria via LeMat-Bulk, functional GGA-PBE.

The structure in POSCAR format:
```
Tb8NdTm6
1.0
4.487 2.590 6.854
-4.487 2.590 6.854
0.000 -5.181 6.854
Tb Nd Tm
8 1 6
Direct
0.077 0.077 0.077
0.219 0.246 0.611
0.246 0.611 0.219
0.389 0.781 0.754
0.611 0.219 0.246
0.754 0.389 0.781
0.781 0.754 0.389
0.923 0.923 0.923
0.500 0.500 0.500
0.037 0.740 0.603
0.260 0.397 0.963
0.397 0.963 0.260
0.603 0.037 0.740
0.740 0.603 0.037
0.963 0.260 0.397
```

## Properties
Total moment in Bohr magnetons per cell: 0.00
Formation enthalpy at 0 K in kJ/mol of atoms: 13.2
Symmetry: No. 148
Uncorrected energy in eV for the cell shown: -66.59

---

A relaxed LaCoTe2 crystal. Source: Alexandria via LeMat-Bulk, functional GGA-PBE.

The structure in POSCAR format:
```
LaCoTe2
1.0
5.077 0.000 0.000
0.000 5.077 0.000
0.000 0.000 3.956
La Co Te
1 1 2
Direct
0.000 0.000 0.000
0.500 0.500 0.000
0.000 0.500 0.500
0.500 0.000 0.500
```

## Properties
Formation energy without anion corrections in eV per formula unit: -1.8
Total moment in Bohr magnetons per cell: 1.87
Symmetry: No. 123
Uncorrected energy in eV for the cell shown: -20.09

---

A relaxed Dy2NpMnS6 crystal. Source: Alexandria via LeMat-Bulk, functional GGA-PBE.

The structure in POSCAR format:
```
Dy2NpMnS6
1.0
3.381 1.952 6.047
-3.381 1.952 6.047
0.000 -3.904 6.047
Dy Np Mn S
2 1 1 6
Direct
0.000 0.000 0.000
0.498 0.498 0.498
0.800 0.800 0.800
0.299 0.299 0.299
0.087 0.676 0.411
0.191 0.576 0.921
0.411 0.087 0.676
0.576 0.921 0.191
0.676 0.411 0.087
0.921 0.191 0.576
```

## Properties
Formation energy without anion corrections in eV per formula unit: -14.7
Total moment in Bohr magnetons per cell: 8.00
Symmetry: No. 146
Uncorrected energy in eV for the cell shown: -70.80

---

A relaxed LiLaAlCd crystal. Source: Alexandria via LeMat-Bulk, functional GGA-PBE.

The structure in POSCAR format:
```
LiLaAlCd
1.0
0.000 3.554 3.554
3.554 0.000 3.554
3.554 3.554 0.000
Li La Al Cd
1 1 1 1
Direct
0.000 0.000 0.000
0.750 0.750 0.750
0.500 0.500 0.500
0.250 0.250 0.250
```

## Properties
Total moment in Bohr magnetons per cell: 0.00
Formation enthalpy at 0 K in kJ/mol of atoms: -26.4
Symmetry: No. 216
Uncorrected energy in eV for the cell shown: -12.59

---

A relaxed Y3Si3Ru crystal. Source: Alexandria via LeMat-Bulk, functional GGA-PBE.

The structure in POSCAR format:
```
Y3Si3Ru
1.0
5.313 -2.114 0.000
5.313 2.114 0.000
-4.872 0.000 12.708
Y Si Ru
6 6 2
Direct
0.020 0.020 0.375
0.102 0.102 0.921
0.245 0.245 0.228
0.755 0.755 0.772
0.898 0.898 0.079
0.980 0.980 0.625
0.362 0.362 0.457
0.388 0.388 0.926
0.448 0.448 0.762
0.552 0.552 0.238
0.612 0.612 0.074
0.638 0.638 0.543
0.253 0.253 0.586
0.747 0.747 0.414
```

## Properties
Formation energy without anion corrections in eV per formula unit: -6.1
Total moment in Bohr magnetons per cell: 0.00
Symmetry: No. 12
Uncorrected energy in eV for the cell shown: -102.05

---

A relaxed Y4TmTh crystal. Source: Alexandria via LeMat-Bulk, functional GGA-PBE.

The structure in POSCAR format:
```
Y4TmTh
1.0
5.787 -5.908 0.000
5.787 5.908 0.000
0.000 0.000 3.415
Y Tm Th
4 1 1
Direct
0.231 0.769 0.000
0.261 0.261 0.500
0.739 0.739 0.500
0.769 0.231 0.000
0.000 0.000 0.500
0.500 0.500 0.000
```

## Properties
Polymorph energy (0 for the lowest one) in meV per atom: 693
Total moment in Bohr magnetons per cell: 0.00
Formation enthalpy at 0 K in kJ/mol of atoms: 70.4
Symmetry: No. 65
Uncorrected energy in eV for the cell shown: -33.37

---

A relaxed CaMnFe2 crystal. Source: Alexandria via LeMat-Bulk, functional GGA-PBE.

The structure in POSCAR format:
```
CaMnFe2
1.0
1.426 0.823 8.578
-1.426 0.823 8.578
0.000 -1.647 8.578
Ca Mn Fe
1 1 2
Direct
0.000 0.000 0.000
0.500 0.500 0.500
0.237 0.237 0.237
0.763 0.763 0.763
```

## Properties
Polymorph energy (0 for the lowest one) in meV per atom: 412
Total moment in Bohr magnetons per cell: 5.96
Formation enthalpy at 0 K in kJ/mol of atoms: 73.4
Symmetry: No. 166
Uncorrected energy in eV for the cell shown: -25.05

---

A relaxed Er10Tm4Sc crystal. Source: Alexandria via LeMat-Bulk, functional GGA-PBE.

The structure in POSCAR format:
```
Er10Tm4Sc
1.0
-5.602 5.602 3.725
5.602 -5.602 3.725
5.602 5.602 -3.725
Er Tm Sc
10 4 1
Direct
0.010 0.219 0.791
0.219 0.010 0.791
0.219 0.428 0.209
0.250 0.750 0.500
0.428 0.219 0.209
0.572 0.781 0.791
0.750 0.250 0.500
0.781 0.572 0.791
0.781 0.990 0.209
0.990 0.781 0.209
0.265 0.265 0.529
0.265 0.735 0.000
0.735 0.265 0.000
0.735 0.735 0.471
0.500 0.500 0.000
```

## Properties
Total moment in Bohr magnetons per cell: 0.00
Formation enthalpy at 0 K in kJ/mol of atoms: 23.8
Symmetry: No. 139
Uncorrected energy in eV for the cell shown: -66.15